# 1
Computed, not measured: a relaxed structure of K4Y3AlO8 at the PBE level of DFT.

Geometry as POSCAR:
```
K4Y3AlO8
1.0
-6.036 2.487 1.724
-2.286 -6.758 1.746
5.580 2.266 3.046
O K Y Al
8 4 3 1
Direct
0.788 0.322 0.034
0.271 0.312 0.541
0.212 0.678 0.966
0.246 0.322 0.034
0.211 0.677 0.422
0.789 0.323 0.578
0.729 0.688 0.459
0.754 0.678 0.966
0.000 0.000 0.500
0.000 0.000 0.000
0.500 0.000 0.500
0.500 0.000 0.000
0.500 0.500 0.500
0.000 0.500 0.500
0.500 0.500 0.000
0.000 0.500 0.000
```

Summary:
DOS(E_F) = 0.0 states/eV/cell
Crystal system = monoclinic
Size of the total moment = 0.00 μB/f.u.
Total energy = -6.752 eV per atom

---

# 2
Computed, not measured: a relaxed structure of ReAsSe at the PBE level of DFT.

Geometry as POSCAR:
```
ReAsSe
1.0
-2.635 0.829 3.314
-1.653 -3.249 2.307
1.342 -0.675 4.044
Re Se As
1 1 1
Direct
0.000 0.000 0.000
0.500 0.500 0.500
0.250 0.250 0.250
```

Summary:
DOS(E_F) = 3.5 states/eV/cell
Crystal system = cubic
Size of the total moment = 0.00 μB/f.u.
Total energy = -5.824 eV per atom

---

# 3
Computed, not measured: a relaxed structure of Sm8YTm3 at the PBE level of DFT.

Geometry as POSCAR:
```
Sm8YTm3
1.0
-0.408 -4.351 -11.085
10.179 6.761 3.375
-6.991 -6.302 2.731
Sm Y Tm
8 1 3
Direct
0.185 0.859 0.026
0.320 0.640 0.979
0.179 0.358 0.029
0.326 0.141 0.974
0.674 0.859 0.026
0.680 0.360 0.021
0.821 0.642 0.971
0.815 0.141 0.974
0.000 0.000 0.000
0.000 0.500 0.000
0.500 0.000 0.000
0.500 0.500 0.000
```

Summary:
DOS(E_F) = 23.9 states/eV/cell
Crystal system = monoclinic
Size of the total moment = 0.00 μB/f.u.
Formation energy from the elements = 12 kJ per mole of atoms

---

# 4
Computed, not measured: a relaxed structure of Tb3Zn2Cu9 at the PBE level of DFT.

Geometry as POSCAR:
```
Tb3Zn2Cu9
1.0
-0.796 -1.396 3.864
-2.238 -7.504 -0.906
5.829 -5.047 1.643
Zn Cu Tb
2 9 3
Direct
0.500 0.298 0.702
0.500 0.702 0.298
0.873 0.410 0.844
0.330 0.312 0.028
0.670 0.972 0.688
0.127 0.156 0.590
0.330 0.028 0.312
0.670 0.688 0.972
0.000 0.500 0.500
0.873 0.844 0.410
0.127 0.590 0.156
0.000 0.000 0.000
0.701 0.299 0.299
0.299 0.701 0.701
```

Summary:
DOS(E_F) = 8.1 states/eV/cell
Crystal system = orthorhombic
Size of the total moment = 0.00 μB/f.u.
Formation energy from the elements = -22 kJ per mole of atoms